Entry from Alexandria via LeMat-Bulk: a relaxed structure of As2IrW (GGA-PBE).

Results
magnetization = 0.00 μB per cell
raw total energy = -30.24 eV for the cell shown

abc: 4.4276 4.4276 4.4276
angles: 60.00 60.00 60.00
Closest atoms and distances in Å follow each position.
Atoms (fractional coordinates):
Ir: 0.5000 0.5000 0.5000  8 As 2.71
As: 0.2500 0.2500 0.2500  4 Ir 2.71, 4 W 2.71
As: 0.7500 0.7500 0.7500  4 Ir 2.71, 4 W 2.71
W: 0.0000 0.0000 0.0000  8 As 2.71

=====

Entry from Alexandria via LeMat-Bulk: a relaxed structure of As2IrW (GGA-PBE).

Results
magnetization = 0.00 μB per cell
raw total energy = -30.76 eV for the cell shown

abc: 4.1834 2.8020 6.8722
angles: 78.47 90.00 90.00
Closest atoms and distances in Å follow each position.
Atoms (fractional coordinates):
As: 0.0000 0.1089 0.9127  1 Ir 2.46
As: 0.5000 0.3897 0.3405  2 Ir 2.52, 2 W 2.79, 2 As 2.80
Ir: 0.0000 0.2877 0.5480  3 As 2.46-2.52, 4 W 2.71
W: 0.5000 0.7137 0.6987  4 Ir 2.71, 6 As 2.79-2.90, 2 W 2.80

=====

Entry from Alexandria via LeMat-Bulk: a relaxed structure of As2IrW (GGA-PBE).

Results
magnetization = 0.00 μB per cell
raw total energy = -30.08 eV for the cell shown

abc: 8.1797 8.1797 8.1797
angles: 21.28 21.28 21.28
Closest atoms and distances in Å follow each position.
Atoms (fractional coordinates):
Ir: 0.7500 0.7500 0.7500  6 As 2.67
As: 0.9992 0.9992 0.9992  3 W 2.64, 3 Ir 2.67
As: 0.5008 0.5008 0.5008  3 W 2.64, 3 Ir 2.67
W: 0.2500 0.2500 0.2500  6 As 2.64

=====

Entry from Alexandria via LeMat-Bulk: a relaxed structure of As2IrW (GGA-PBE).

Results
magnetization = 0.00 μB per cell
raw total energy = -30.03 eV for the cell shown

abc: 4.3741 4.3741 5.2375
angles: 80.65 80.65 39.67
Closest atoms and distances in Å follow each position.
Atoms (fractional coordinates):
W: 0.2500 0.2500 0.2500  6 As 2.63-2.64
As: 0.9949 0.9949 0.0091  3 Ir 2.62-2.73, 3 W 2.63-2.64
As: 0.5051 0.5051 0.4909  3 Ir 2.62-2.73, 3 W 2.63-2.64
Ir: 0.7500 0.7500 0.7500  6 As 2.62-2.73

=====

Entry from Alexandria via LeMat-Bulk: a relaxed structure of AsIrW2 (GGA-PBE).

Results
magnetization = 0.00 μB per cell
raw total energy = -38.57 eV for the cell shown

abc: 4.9076 4.9076 4.6183
angles: 84.02 84.02 34.86
Closest atoms and distances in Å follow each position.
Atoms (fractional coordinates):
Ir: 0.2500 0.2500 0.2500  4 As 2.74, 6 W 2.79-2.80, 2 Ir 2.94
As: 0.7500 0.7500 0.7500  2 W 2.66, 4 Ir 2.74, 2 As 2.94
W: 0.5111 0.5111 0.4885  1 As 2.66, 6 W 2.68-2.94, 3 Ir 2.79-2.80
W: 0.9889 0.9889 0.0115  1 As 2.66, 6 W 2.68-2.94, 3 Ir 2.79-2.80

=====

Entry from Alexandria via LeMat-Bulk: a relaxed structure of AsIrW2 (GGA-PBE).

Results
magnetization = 0.00 μB per cell
raw total energy = -71.11 eV for the cell shown

abc: 5.7413 5.7413 6.8868
angles: 65.37 65.37 90.00
Closest atoms and distances in Å follow each position.
Atoms (fractional coordinates):
As: 0.5000 0.5000 0.0000  4 W 2.49
As: 0.2500 0.7500 0.5000  4 W 2.49
W: 0.8750 0.8839 0.7500  2 Ir 2.43, 2 As 2.49
W: 0.3750 0.3661 0.7500  2 Ir 2.43, 2 As 2.49
W: 0.1161 0.6250 0.2500  2 Ir 2.43, 2 As 2.49
W: 0.6339 0.1250 0.2500  2 Ir 2.43, 2 As 2.49
Ir: 0.7500 0.2500 0.5000  4 W 2.43
Ir: 0.0000 0.0000 0.0000  4 W 2.43

=====

Entry from Alexandria via LeMat-Bulk: a relaxed structure of AsIrW4 (GGA-PBE).

Results
magnetization = 0.00 μB per cell
raw total energy = -60.63 eV for the cell shown

abc: 5.2565 5.2565 5.2565
angles: 60.00 60.00 60.00
Closest atoms and distances in Å follow each position.
Atoms (fractional coordinates):
Ir: 0.0000 0.0000 0.0000  12 W 3.08, 4 As 3.22
W: 0.6246 0.6246 0.1261  6 W 2.62-2.64
W: 0.6246 0.6246 0.6246  6 W 2.62-2.64
W: 0.6246 0.1261 0.6246  6 W 2.62-2.64
W: 0.1261 0.6246 0.6246  6 W 2.62-2.64
As: 0.2500 0.2500 0.2500  12 W 3.08, 4 Ir 3.22

=====

Entry from Alexandria via LeMat-Bulk: a relaxed structure of AsIrW2 (GGA-PBE).

Results
magnetization = 0.00 μB per cell
raw total energy = -37.76 eV for the cell shown

abc: 4.4804 3.7490 3.7490
angles: 90.00 90.00 90.00
Closest atoms and distances in Å follow each position.
Atoms (fractional coordinates):
As: 0.5000 0.5000 0.0000  4 Ir 2.65, 8 W 2.92
W: 0.0000 0.5000 0.5000  4 W 2.65, 4 As 2.92, 4 Ir 2.92
W: 0.0000 0.0000 0.0000  4 W 2.65, 4 As 2.92, 4 Ir 2.92
Ir: 0.5000 0.0000 0.5000  4 As 2.65, 8 W 2.92